Record 1
# Na2MgSe2 PBE-GGA relaxed
# Crystal system: tetragonal
# E_form (uncorrected) (eV per atom): -0.606
data_Na2MgSe2
_chemical_formula_sum 'Na4 Mg2 Se4'
_symmetry_space_group_name_H-M 'I 4/m m m'
_symmetry_Int_Tables_number 139
_symmetry_space_group_name_Hall '-I 4 2'
_cell_length_a 4.001
_cell_length_b 4.001
_cell_length_c 14.607
_cell_angle_alpha 90.00
_cell_angle_beta 90.00
_cell_angle_gamma 90.00
loop_
_atom_site_label
_atom_site_fract_x
_atom_site_fract_y
_atom_site_fract_z
_atom_site_occupancy
Na1 0.000 0.500 0.250 1
Mg1 0.000 0.000 0.000 1
Se1 0.000 0.000 0.389 1

Record 2
# Na2MgSiSe4 PBE-GGA relaxed
# Crystal system: orthorhombic
# E_form (uncorrected) (eV per atom): -0.918
data_Na2MgSiSe4
_chemical_formula_sum 'Na4 Mg2 Si2 Se8'
_symmetry_space_group_name_H-M 'P m n 21'
_symmetry_Int_Tables_number 31
_symmetry_space_group_name_Hall 'P 2ac -2'
_cell_length_a 8.067
_cell_length_b 8.115
_cell_length_c 6.948
_cell_angle_alpha 90.00
_cell_angle_beta 90.00
_cell_angle_gamma 90.00
loop_
_atom_site_label
_atom_site_fract_x
_atom_site_fract_y
_atom_site_fract_z
_atom_site_occupancy
Na1 0.241 0.166 0.000 1
Mg1 0.000 0.368 0.502 1
Si1 0.000 0.663 0.994 1
Se1 0.000 0.406 0.127 1
Se2 0.000 0.650 0.666 1
Se3 0.233 0.812 0.084 1

Record 3
# NaSm2MgSe4 PBE-GGA relaxed
# Crystal system: monoclinic
# E_form (uncorrected) (eV per atom): -1.555
data_NaSm2MgSe4
_chemical_formula_sum 'Na1 Sm2 Mg1 Se4'
_symmetry_space_group_name_H-M 'P 1 2/m 1'
_symmetry_Int_Tables_number 10
_symmetry_space_group_name_Hall '-P 2y'
_cell_length_a 7.127
_cell_length_b 4.092
_cell_length_c 7.189
_cell_angle_alpha 90.00
_cell_angle_beta 108.75
_cell_angle_gamma 90.00
loop_
_atom_site_label
_atom_site_fract_x
_atom_site_fract_y
_atom_site_fract_z
_atom_site_occupancy
Na1 0.000 0.000 0.000 1
Sm1 0.000 0.500 0.500 1
Sm2 0.500 0.000 0.500 1
Mg1 0.500 0.500 0.000 1
Se1 0.258 0.500 0.245 1
Se2 0.263 0.000 0.765 1

Record 4
# NaMgSn4Se8 PBE-GGA relaxed
# Crystal system: trigonal
# E_form (uncorrected) (eV per atom): -0.530
data_NaMgSn4Se8
_chemical_formula_sum 'Na3 Mg3 Sn12 Se24'
_symmetry_space_group_name_H-M 'R 3 m'
_symmetry_Int_Tables_number 160
_symmetry_space_group_name_Hall 'R 3 -2"'
_cell_length_a 8.2420
_cell_length_b 8.2420
_cell_length_c 20.6220
_cell_angle_alpha 90.00
_cell_angle_beta 90.00
_cell_angle_gamma 120.00
loop_
_atom_site_label
_atom_site_fract_x
_atom_site_fract_y
_atom_site_fract_z
_atom_site_occupancy
Na1 0.0000 0.0000 0.0000 1
Mg1 0.0000 0.0000 0.6283 1
Sn1 0.0000 0.0000 0.2474 1
Sn2 0.1747 0.3494 0.4524 1
Se1 0.0000 0.0000 0.3792 1
Se2 0.0000 0.0000 0.8635 1
Se3 0.0309 0.5155 0.3745 1
Se4 0.1787 0.3574 0.2027 1

Record 5
# Na3MgSn3Se8 PBE-GGA relaxed
# Crystal system: trigonal
# E_form (uncorrected) (eV per atom): -0.714
data_Na3MgSn3Se8
_chemical_formula_sum 'Na9 Mg3 Sn9 Se24'
_symmetry_space_group_name_H-M 'R -3 m'
_symmetry_Int_Tables_number 166
_symmetry_space_group_name_Hall '-R 3 2"'
_cell_length_a 7.9217
_cell_length_b 7.9217
_cell_length_c 21.7059
_cell_angle_alpha 90.00
_cell_angle_beta 90.00
_cell_angle_gamma 120.00
loop_
_atom_site_label
_atom_site_fract_x
_atom_site_fract_y
_atom_site_fract_z
_atom_site_occupancy
Na1 0.0000 0.5000 0.0000 1
Mg1 0.0000 0.0000 0.5000 1
Sn1 0.0000 0.5000 0.5000 1
Se1 0.0000 0.0000 0.2423 1
Se2 0.0032 0.5016 0.2379 1

Record 6
# NaMgSnSe3 PBE-GGA relaxed
# Crystal system: monoclinic
# E_form (uncorrected) (eV per atom): -0.748
data_NaMgSnSe3
_chemical_formula_sum 'Na2 Mg2 Sn2 Se6'
_symmetry_space_group_name_H-M 'P 1 21/m 1'
_symmetry_Int_Tables_number 11
_symmetry_space_group_name_Hall '-P 2yb'
_cell_length_a 7.896
_cell_length_b 3.981
_cell_length_c 10.634
_cell_angle_alpha 90.00
_cell_angle_beta 105.56
_cell_angle_gamma 90.00
loop_
_atom_site_label
_atom_site_fract_x
_atom_site_fract_y
_atom_site_fract_z
_atom_site_occupancy
Na1 0.222 0.250 0.208 1
Mg1 0.331 0.750 0.919 1
Sn1 0.158 0.250 0.640 1
Se1 0.079 0.250 0.879 1
Se2 0.221 0.750 0.479 1
Se3 0.486 0.750 0.171 1

| no. | energy (eV per atom) |
| --- | --- |
| 1 | -2.846 |
| 2 | -3.867 |
| 3 | -4.842 |
| 4 | -3.873 |
| 5 | -3.743 |
| 6 | -3.643 |